(1)
Here is an optimized crystal structure of Zr2ReH2 from Alexandria. Energies are from PBE.

Results
N(E_F), states/eV per cell: 2.2
Crystal system: tetragonal
Spin magnetization, μB per atom: 0.00
Distance to the lowest polymorph of the same formula, eV per formula unit: 0.86

```
Zr2ReH2
1.0
-1.993 0.578 -2.500
1.429 -2.379 -1.689
-4.217 -4.226 2.385
Zr Re H
2 1 2
Direct
0.500 0.500 0.744 Zr
0.500 0.500 0.256 Zr
0.000 0.000 0.000 Re
0.500 0.000 0.500 H
0.000 0.500 0.500 H
```

---

(2)
Here is an optimized crystal structure of Zr2ReH from Alexandria. Energies are from PBE.

Results
N(E_F), states/eV per cell: 3.9
Crystal system: cubic
Spin magnetization, μB per atom: 0.00
Distance to the lowest polymorph of the same formula, eV per formula unit: 1.22

```
Zr2ReH
1.0
0.000 3.222 3.222
3.222 0.000 3.222
3.222 3.222 0.000
Re Zr H
1 2 1
Direct
0.500 0.500 0.500 Re
0.250 0.250 0.250 Zr
0.750 0.750 0.750 Zr
0.000 0.000 0.000 H
```

---

(3)
Here is an optimized crystal structure of ZrReH3 from Alexandria. Energies are from PBE.

Results
N(E_F), states/eV per cell: 3.5
Crystal system: cubic
Spin magnetization, μB per atom: 0.00
Energy, Ry per atom: -0.4547

```
ZrReH3
1.0
-1.986 -2.970 0.054
0.340 -0.292 -3.546
2.951 -1.966 0.445
Re Zr H
1 1 3
Direct
0.000 0.000 0.000 Re
0.500 0.500 0.500 Zr
0.000 0.500 0.000 H
0.000 0.000 0.500 H
0.500 0.000 0.000 H
```

---

(4)
Here is an optimized crystal structure of Zr2ReH from Alexandria. Energies are from PBE.

Results
N(E_F), states/eV per cell: 6.7
Crystal system: tetragonal
Spin magnetization, μB per atom: 0.00
Distance to the lowest polymorph of the same formula, eV per formula unit: 0.51

```
Zr2ReH
1.0
6.255 0.000 0.000
0.000 6.255 0.000
3.128 3.128 3.309
Re Zr H
2 4 2
Direct
0.000 0.000 0.000 Re
0.750 0.250 0.500 Re
0.548 0.125 0.250 Zr
0.202 0.625 0.250 Zr
0.375 0.452 0.750 Zr
0.875 0.798 0.750 Zr
0.500 0.500 0.000 H
0.250 0.750 0.500 H
```